1.
Material: YZr2Ir2
Method: DFT, PBE
State: relaxed

## Properties
Its energy above the most stable polymorph in this dataset is 110.3 meV per atom. As for the space-group type: P4/mbm, No. 127.

Unit cell a=7.7191 b=7.7191 c=3.4588 alpha=90.00 beta=90.00 gamma=90.00
Fractional positions:
Y 0.0000 0.0000 0.0000
Y 0.5000 0.5000 0.0000
Zr 0.1577 0.3423 0.5000
Zr 0.3423 0.8423 0.5000
Zr 0.6577 0.1577 0.5000
Zr 0.8423 0.6577 0.5000
Ir 0.1341 0.6341 0.0000
Ir 0.3659 0.1341 0.0000
Ir 0.6341 0.8659 0.0000
Ir 0.8659 0.3659 0.0000

***

2.
Material: YZrIr2
Method: DFT, PBE
State: relaxed

## Properties
As for the space-group type: F-43m, No. 216.

Unit cell a=4.6983 b=4.6983 c=4.6983 alpha=60.00 beta=60.00 gamma=60.00
Fractional positions:
Y 0.0000 0.0000 0.0000
Zr 0.7500 0.7500 0.7500
Ir 0.2500 0.2500 0.2500
Ir 0.5000 0.5000 0.5000

***

| no. | E_tot (eV per cell) |
| --- | --- |
| 1 | -88.90 |
| 2 | -33.88 |